Density functional theory data (PBE with a Hubbard U) for crystalline NiAuO3 at its relaxed geometry.

Calculated values
**Symmetry**: No. 221
**Crystal system**: cubic
**E_tot**: -0.2841 Ry/atom
**Calculated volume**: 53.4 Å³/cell

Cell lengths 3.7649, 3.7649, 3.7649 Å; angles 90.00, 90.00, 90.00 degrees
Fractional coordinates of all 5 atoms:
Ni 0.0000 0.0000 0.0000
Au 0.5000 0.5000 0.5000
O 0.0000 0.0000 0.5000
O 0.0000 0.5000 0.0000
O 0.5000 0.0000 0.0000